[1]
# Tm4BS3 (PBE, relaxed)
# Energy relative to the elements, uncorrected ... -1.620 eV per atom
# Total energy ... -6.2386 eV per atom
data_Tm4BS3
_chemical_formula_sum 'Tm4 B1 S3'
_space_group_name_H-M_alt 'P 1'
_space_group_IT_number 1
_cell_length_a 6.656
_cell_length_b 6.656
_cell_length_c 3.805
_cell_angle_alpha 90.00
_cell_angle_beta 90.00
_cell_angle_gamma 109.06
loop_
_space_group_symop_operation_xyz
'x,y,z'
loop_
_atom_site_label
_atom_site_type_symbol
_atom_site_fract_x
_atom_site_fract_y
_atom_site_fract_z
Tm1 Tm 0.226 0.226 0.500
Tm2 Tm 0.234 0.766 0.000
Tm3 Tm 0.766 0.234 0.000
Tm4 Tm 0.774 0.774 0.500
B1 B 0.000 0.000 0.000
S1 S 0.000 0.500 0.500
S2 S 0.500 0.000 0.500
S3 S 0.500 0.500 0.000

---

[2]
# UBS3 (PBE, relaxed)
# Energy relative to the elements, uncorrected ... -0.580 eV per atom
# Total energy ... -6.6498 eV per atom
data_UBS3
_chemical_formula_sum 'U2 B2 S6'
_space_group_name_H-M_alt 'P 1'
_space_group_IT_number 1
_cell_length_a 6.608
_cell_length_b 6.608
_cell_length_c 6.608
_cell_angle_alpha 102.96
_cell_angle_beta 107.20
_cell_angle_gamma 118.68
loop_
_space_group_symop_operation_xyz
'x,y,z'
loop_
_atom_site_label
_atom_site_type_symbol
_atom_site_fract_x
_atom_site_fract_y
_atom_site_fract_z
U1 U 0.118 0.250 0.368
U2 U 0.882 0.750 0.632
B1 B 0.415 0.859 0.056
B2 B 0.803 0.359 0.944
S1 S 0.287 0.046 0.093
S2 S 0.287 0.693 0.740
S3 S 0.565 0.353 0.711
S4 S 0.642 0.853 0.289
S5 S 0.953 0.193 0.907
S6 S 0.953 0.546 0.260

---

[3]
# UB2S8 (PBE, relaxed)
# Energy relative to the elements, uncorrected ... -0.358 eV per atom
# Total energy ... -5.6000 eV per atom
data_UB2S8
_chemical_formula_sum 'U1 B2 S8'
_space_group_name_H-M_alt 'P 1'
_space_group_IT_number 1
_cell_length_a 7.914
_cell_length_b 7.914
_cell_length_c 6.194
_cell_angle_alpha 100.24
_cell_angle_beta 100.24
_cell_angle_gamma 59.82
loop_
_space_group_symop_operation_xyz
'x,y,z'
loop_
_atom_site_label
_atom_site_type_symbol
_atom_site_fract_x
_atom_site_fract_y
_atom_site_fract_z
U1 U 0.000 0.000 0.000
B1 B 0.144 0.144 0.718
B2 B 0.856 0.856 0.282
S1 S 0.095 0.688 0.161
S2 S 0.123 0.123 0.393
S3 S 0.261 0.261 0.598
S4 S 0.312 0.905 0.839
S5 S 0.688 0.095 0.161
S6 S 0.739 0.739 0.402
S7 S 0.877 0.877 0.607
S8 S 0.905 0.312 0.839

---

[4]
# U2BS6 (PBE, relaxed)
# Energy relative to the elements, uncorrected ... -0.883 eV per atom
# Total energy ... -6.8852 eV per atom
data_U2BS6
_chemical_formula_sum 'U2 B1 S6'
_space_group_name_H-M_alt 'P 1'
_space_group_IT_number 1
_cell_length_a 6.536
_cell_length_b 6.536
_cell_length_c 11.737
_cell_angle_alpha 119.59
_cell_angle_beta 119.59
_cell_angle_gamma 33.36
loop_
_space_group_symop_operation_xyz
'x,y,z'
loop_
_atom_site_label
_atom_site_type_symbol
_atom_site_fract_x
_atom_site_fract_y
_atom_site_fract_z
U1 U 0.170 0.170 0.317
U2 U 0.830 0.830 0.683
B1 B 0.500 0.500 0.000
S1 S 0.219 0.219 0.734
S2 S 0.381 0.381 0.556
S3 S 0.460 0.460 0.117
S4 S 0.540 0.540 0.883
S5 S 0.619 0.619 0.444
S6 S 0.781 0.781 0.266

---

[5]
# U3BS6 (PBE, relaxed)
# Energy relative to the elements, uncorrected ... -1.069 eV per atom
# Total energy ... -7.5995 eV per atom
data_U3BS6
_chemical_formula_sum 'U6 B2 S12'
_space_group_name_H-M_alt 'P 1'
_space_group_IT_number 1
_cell_length_a 8.304
_cell_length_b 8.304
_cell_length_c 6.319
_cell_angle_alpha 90.00
_cell_angle_beta 90.00
_cell_angle_gamma 101.94
loop_
_space_group_symop_operation_xyz
'x,y,z'
loop_
_atom_site_label
_atom_site_type_symbol
_atom_site_fract_x
_atom_site_fract_y
_atom_site_fract_z
U1 U 0.108 0.892 0.500
U2 U 0.226 0.423 0.580
U3 U 0.423 0.226 0.080
U4 U 0.577 0.774 0.580
U5 U 0.774 0.577 0.080
U6 U 0.892 0.108 0.000
B1 B 0.300 0.700 0.127
B2 B 0.700 0.300 0.627
S1 S 0.091 0.605 0.261
S2 S 0.132 0.188 0.293
S3 S 0.188 0.132 0.793
S4 S 0.286 0.714 0.820
S5 S 0.395 0.909 0.261
S6 S 0.445 0.555 0.232
S7 S 0.555 0.445 0.732
S8 S 0.605 0.091 0.761
S9 S 0.714 0.286 0.320
S10 S 0.812 0.868 0.293
S11 S 0.868 0.812 0.793
S12 S 0.909 0.395 0.761

---

[6]
# VB2S (PBE, relaxed)
# Energy relative to the elements, uncorrected ... 0.595 eV per atom
# Total energy ... -6.0552 eV per atom
data_VB2S
_chemical_formula_sum 'V2 B4 S2'
_space_group_name_H-M_alt 'P 1'
_space_group_IT_number 1
_cell_length_a 4.996
_cell_length_b 4.996
_cell_length_c 4.996
_cell_angle_alpha 117.57
_cell_angle_beta 117.57
_cell_angle_gamma 94.26
loop_
_space_group_symop_operation_xyz
'x,y,z'
loop_
_atom_site_label
_atom_site_type_symbol
_atom_site_fract_x
_atom_site_fract_y
_atom_site_fract_z
V1 V 0.000 0.000 0.000
V2 V 0.750 0.250 0.500
B1 B 0.175 0.625 0.050
B2 B 0.375 0.425 0.550
B3 B 0.575 0.125 0.950
B4 B 0.875 0.825 0.450
S1 S 0.250 0.750 0.500
S2 S 0.500 0.500 0.000

---

Q: What is the formula in the second record?
A: UBS3